Entry from Alexandria: a relaxed structure of ErPuTl2Se4 (GGA-PBE).

Cell lengths 7.291, 4.199, 8.104 Å; angles 90.00, 107.39, 90.00 degrees
Fractional positions:
Er 0.000 0.000 0.000
Pu 0.500 0.500 0.000
Tl 0.000 0.500 0.500
Tl 0.500 0.000 0.500
Se 0.229 0.500 0.204
Se 0.261 0.000 0.797
Se 0.739 0.000 0.203
Se 0.771 0.500 0.796

Summary:
The calculation puts the uncorrected formation energy at -1.232 eV per atom. As for the crystal system: monoclinic.